Entry 1:
# Cr2HgGe2, relaxed, DFT PBE
# Distance to the lowest polymorph of the same formula ... 0.007 eV/atom
# DOS(E_F) ... 6.9 states/eV/cell
data_Cr2HgGe2
_cell_length_a 7.007
_cell_length_b 7.007
_cell_length_c 3.139
_cell_angle_alpha 90.00
_cell_angle_beta 90.00
_cell_angle_gamma 90.00
_symmetry_space_group_name_H-M 'P 4/m b m'
_symmetry_Int_Tables_number 127
_symmetry_space_group_name_Hall '-P 4 2ab'
loop_
_atom_site_label
_atom_site_type_symbol
_atom_site_fract_x
_atom_site_fract_y
_atom_site_fract_z
Cr1 Cr 0.135 0.365 0.000
Hg1 Hg 0.000 0.000 0.000
Ge1 Ge 0.153 0.653 0.500



Entry 2:
# LiTbNiPb, relaxed, DFT PBE
# DOS(E_F) ... 0.4 states/eV/cell
data_LiTbNiPb
_cell_length_a 6.666
_cell_length_b 6.666
_cell_length_c 6.666
_cell_angle_alpha 90.00
_cell_angle_beta 90.00
_cell_angle_gamma 90.00
_symmetry_space_group_name_H-M 'F -4 3 m'
_symmetry_Int_Tables_number 216
_symmetry_space_group_name_Hall 'F -4 2 3'
loop_
_atom_site_label
_atom_site_type_symbol
_atom_site_fract_x
_atom_site_fract_y
_atom_site_fract_z
Li1 Li 0.000 0.000 0.000
Tb1 Tb 0.250 0.250 0.750
Ni1 Ni 0.000 0.000 0.500
Pb1 Pb 0.250 0.250 0.250



Entry 3:
# DyBeAl2Pd4, relaxed, DFT PBE
# DOS(E_F) ... 10.1 states/eV/cell
data_DyBeAl2Pd4
_cell_length_a 4.2539
_cell_length_b 4.2539
_cell_length_c 24.7964
_cell_angle_alpha 90.00
_cell_angle_beta 90.00
_cell_angle_gamma 120.00
_symmetry_space_group_name_H-M 'R -3 m'
_symmetry_Int_Tables_number 166
_symmetry_space_group_name_Hall '-R 3 2"'
loop_
_atom_site_label
_atom_site_type_symbol
_atom_site_fract_x
_atom_site_fract_y
_atom_site_fract_z
Dy1 Dy 0.0000 0.0000 0.0000
Be1 Be 0.0000 0.0000 0.5000
Al1 Al 0.0000 0.0000 0.2397
Pd1 Pd 0.0000 0.0000 0.1350
Pd2 Pd 0.0000 0.0000 0.4053



| no. | total energy (eV per atom) | formation energy from the elements (eV per atom) |
| --- | --- | --- |
| 1 | -5.46 | 0.2962 |
| 2 | -4.41 | -0.4063 |
| 3 | -5.37 | -0.8005 |